(1)
ZnFeB4 | PBE | relaxed

Values from the calculation:
- offset from the most stable computed form (meV per atom) = 25
- SG = Immm

a b c (Å): 4.4588 4.4588 4.4588
angles (deg): 141.17 108.30 84.66
Closest atoms and distances in Å follow each position.
Fractional coordinates of all 6 atoms:
B (0.9140, 0.2515, 0.6626)  3 B 1.70-1.74
B (0.0860, 0.7485, 0.3374)  3 B 1.70-1.74
Fe (0.0000, 0.0000, 0.0000)  12 B 2.37-2.42
B (0.5889, 0.2515, 0.3374)  3 B 1.70-1.74
B (0.4111, 0.7485, 0.6626)  3 B 1.70-1.74
Zn (0.5000, 0.5000, 0.0000)  12 B 2.38-2.41

***

(2)
ZnFeB | PBE | relaxed

Values from the calculation:
- offset from the most stable computed form (meV per atom) = 0
- SG = F-43m

a b c (Å): 3.5415 3.5415 3.5415
angles (deg): 60.00 60.00 60.00
Closest atoms and distances in Å follow each position.
Fractional coordinates of all 3 atoms:
Zn (0.7500, 0.7500, 0.7500)  4 B 2.17
B (0.0000, 0.0000, 0.0000)  4 Zn 2.17, 4 Fe 2.17
Fe (0.2500, 0.2500, 0.2500)  4 B 2.17

***

(3)
ZnFeB2 | PBE | relaxed

Values from the calculation:
- SG = F-43m
- E_tot (eV per atom) = -4.63

a b c (Å): 3.7443 3.7443 3.7443
angles (deg): 60.00 60.00 60.00
Closest atoms and distances in Å follow each position.
Fractional coordinates of all 4 atoms:
B (0.2500, 0.2500, 0.2500)  4 Zn 2.29, 4 B 2.29
Zn (0.5000, 0.5000, 0.5000)  4 B 2.29, 4 Fe 2.29
B (0.0000, 0.0000, 0.0000)  4 Fe 2.29, 4 B 2.29
Fe (0.7500, 0.7500, 0.7500)  4 B 2.29, 4 Zn 2.29

***

(4)
Zn2FeB | PBE | relaxed

Values from the calculation:
- SG = F-43m
- E_tot (eV per atom) = -3.82

a b c (Å): 3.9488 3.9488 3.9488
angles (deg): 60.00 60.00 60.00
Closest atoms and distances in Å follow each position.
Fractional coordinates of all 4 atoms:
Zn (0.5000, 0.5000, 0.5000)  4 Fe 2.42, 4 Zn 2.42
B (0.0000, 0.0000, 0.0000)  4 Fe 2.42, 4 Zn 2.42
Zn (0.7500, 0.7500, 0.7500)  4 Zn 2.42, 4 B 2.42
Fe (0.2500, 0.2500, 0.2500)  4 Zn 2.42, 4 B 2.42

***

no.,total moment (μB per cell)
1,2.22
2,0.00
3,1.42
4,1.45